[1]
First-principles (GGA-PBE) data for an optimized crystal structure of Pm2Pa2Ru3, as listed in Alexandria via LeMat-Bulk.

Properties
The total energy comes out at -58.49 eV/f.u. For the formation energy, the calculation gives -29.86 kJ per mole of atoms.

a = 13.541 Å, b = 4.082 Å, c = 6.187 Å
α = 90.00°, β = 94.51°, γ = 90.00°
Space group C2/m (No. 12)
Inequivalent atoms, fractional coordinates:
Pm 0.141 0.000 0.364 [4 per cell]
Pa 0.107 0.500 0.861 [4 per cell]
Ru 0.000 0.500 0.500 [2 per cell]
Ru 0.226 0.000 0.845 [4 per cell]

[2]
First-principles (GGA-PBE) data for an optimized crystal structure of AcDy4Er6, as listed in Alexandria via LeMat-Bulk.

Properties
The total energy comes out at -48.37 eV/f.u. For the formation energy, the calculation gives 13.41 kJ per mole of atoms.

a = 5.717 Å, b = 9.751 Å, c = 25.525 Å
α = 90.00°, β = 90.00°, γ = 90.00°
Space group Cmcm (No. 63)
Inequivalent atoms, fractional coordinates:
Ac 0.000 0.177 0.250 [4 per cell]
Dy 0.000 0.163 0.541 [8 per cell]
Dy 0.000 0.487 0.622 [8 per cell]
Er 0.000 0.156 0.679 [8 per cell]
Er 0.000 0.176 0.099 [8 per cell]
Er 0.000 0.489 0.750 [4 per cell]
Er 0.000 0.500 0.000 [4 per cell]

[3]
First-principles (GGA-PBE) data for an optimized crystal structure of CaP2Cl, as listed in Alexandria via LeMat-Bulk.

Properties
For the distance to the lowest polymorph of the same formula, the calculation gives 0.082 eV/atom. The total energy comes out at -18.25 eV/f.u. The value obtained for the formation energy without anion corrections is -0.90 eV per atom.

a = 3.8632 Å, b = 3.8632 Å, c = 24.6565 Å
α = 90.00°, β = 90.00°, γ = 120.00°
Space group R3m (No. 160, hexagonal axes)
Inequivalent atoms, fractional coordinates:
Ca 0.0000 0.0000 0.0000 [3 per cell]
P 0.0000 0.0000 0.4451 [3 per cell]
P 0.0000 0.0000 0.7453 [3 per cell]
Cl 0.0000 0.0000 0.2715 [3 per cell]

[4]
First-principles (GGA-PBE) data for an optimized crystal structure of Sr2CdI, as listed in Alexandria via LeMat-Bulk.

Properties
For the distance to the lowest polymorph of the same formula, the calculation gives 0.000 eV/atom. The total energy comes out at -8.73 eV/f.u. The value obtained for the formation energy without anion corrections is -0.73 eV per atom.

a = 4.5270 Å, b = 4.5270 Å, c = 27.0555 Å
α = 90.00°, β = 90.00°, γ = 120.00°
Space group R-3m (No. 166, hexagonal axes)
Inequivalent atoms, fractional coordinates:
Sr 0.0000 0.0000 0.2433 [6 per cell]
Cd 0.0000 0.0000 0.5000 [3 per cell]
I 0.0000 0.0000 0.0000 [3 per cell]

[5]
First-principles (GGA-PBE) data for an optimized crystal structure of Al2SiSe, as listed in Alexandria via LeMat-Bulk.

Properties
For the distance to the lowest polymorph of the same formula, the calculation gives 0.530 eV/atom. The total energy comes out at -15.47 eV/f.u. The value obtained for the formation energy without anion corrections is 0.23 eV per atom.

a = 6.528 Å, b = 6.528 Å, c = 6.528 Å
α = 90.00°, β = 90.00°, γ = 90.00°
Space group Fm-3m (No. 225)
Inequivalent atoms, fractional coordinates:
Al 0.250 0.250 0.250 [8 per cell]
Si 0.000 0.000 0.000 [4 per cell]
Se 0.000 0.000 0.500 [4 per cell]

[6]
First-principles (GGA-PBE) data for an optimized crystal structure of CePmHgPb, as listed in Alexandria via LeMat-Bulk.

Properties
For the distance to the lowest polymorph of the same formula, the calculation gives 0.002 eV/atom. The total energy comes out at -16.35 eV/f.u. For the formation energy, the calculation gives -39.92 kJ per mole of atoms.

a = 7.751 Å, b = 7.751 Å, c = 7.751 Å
α = 90.00°, β = 90.00°, γ = 90.00°
Space group F-43m (No. 216)
Inequivalent atoms, fractional coordinates:
Ce 0.000 0.000 0.000 [4 per cell]
Pm 0.000 0.000 0.500 [4 per cell]
Hg 0.250 0.250 0.750 [4 per cell]
Pb 0.250 0.250 0.250 [4 per cell]

[7]
First-principles (GGA-PBE) data for an optimized crystal structure of TmGaCu6, as listed in Alexandria via LeMat-Bulk.

Properties
The total energy comes out at -32.34 eV/f.u. For the formation energy, the calculation gives -3.15 kJ per mole of atoms.

a = 4.864 Å, b = 4.864 Å, c = 4.864 Å
α = 90.00°, β = 90.00°, γ = 90.00°
Space group Pm-3 (No. 200)
Inequivalent atoms, fractional coordinates:
Tm 0.000 0.000 0.000 [1 per cell]
Ga 0.500 0.500 0.500 [1 per cell]
Cu 0.000 0.257 0.500 [6 per cell]

[8]
First-principles (GGA-PBE) data for an optimized crystal structure of Cs3SrP2S6, as listed in Alexandria via LeMat-Bulk.

Properties
The total energy comes out at -51.17 eV/f.u. The value obtained for the formation energy without anion corrections is -0.95 eV per atom.

a = 7.4335 Å, b = 7.4335 Å, c = 9.3144 Å
α = 90.00°, β = 90.00°, γ = 120.00°
Space group P-3m1 (No. 164)
Inequivalent atoms, fractional coordinates:
Cs 0.0000 0.0000 0.0000 [1 per cell]
Cs 0.3333 0.6667 0.6517 [2 per cell]
Sr 0.0000 0.0000 0.5000 [1 per cell]
P 0.3333 0.6667 0.2286 [2 per cell]
S 0.1800 0.3600 0.3007 [6 per cell]